# 1
5
Lattice="4.014 0.000 0.000 0.000 4.014 0.000 2.007 2.007 5.443" Properties=species:S:1:pos:R:3 comment="ScGa2Pd2 (PBE, relaxed)" sg="I4/mmm (139)" magmom_total_mub_per_fu=0.000 vol_a3_per_cell=88 pbc="T T T"
Sc 0.000 0.000 0.000
Ga 2.007 2.007 1.215
Ga 4.014 4.014 4.228
Pd 4.014 2.007 2.721
Pd 2.007 4.014 2.721

# 2
4
Lattice="1.627 -2.321 0.000 1.627 2.321 0.000 0.000 0.000 8.099" Properties=species:S:1:pos:R:3 comment="PW3 (PBE, relaxed)" sg="Cmmm (65)" magmom_total_mub_per_fu=0.000 vol_a3_per_cell=61 pbc="T T T"
P 0.000 0.000 0.000
W 1.627 0.000 6.247
W 0.000 0.000 4.049
W 1.627 0.000 1.852

# 3
10
Lattice="-5.286 0.717 1.540 0.147 -5.007 2.836 4.141 4.419 1.746" Properties=species:S:1:pos:R:3 comment="Ca2UAgO6 (PBE, relaxed)" sg="C2/m (12)" magmom_total_mub_per_fu=0.000 vol_a3_per_cell=154 pbc="T T T"
Ca 1.100 1.106 1.896
Ca -2.097 -0.977 4.226
U 0.074 -2.504 1.418
Ag -2.643 0.358 0.770
O -0.192 -1.546 3.122
O 2.610 2.931 2.140
O -3.681 -0.317 2.574
O 2.683 0.446 3.547
O -3.607 -2.802 3.982
O -0.806 1.675 3.000

# 4
14
Lattice="-1.423 5.080 -1.638 -1.911 -1.290 5.020 5.144 2.260 2.539" Properties=species:S:1:pos:R:3 comment="BeCdSnO4 (PBE, relaxed)" sg="Cmcm (63)" magmom_total_mub_per_fu=0.000 vol_a3_per_cell=173 pbc="T T T"
Be -0.553 0.210 4.677
Be 2.364 5.839 1.244
Cd 0.905 3.025 2.960
Cd -1.667 1.895 1.691
Sn -0.209 4.710 -0.026
Sn 2.019 1.340 5.947
O 3.138 2.357 2.773
O 1.222 4.535 4.717
O 3.433 5.686 2.470
O 1.195 4.703 1.366
O -1.622 0.364 3.451
O 0.615 1.347 4.555
O -1.328 3.692 3.148
O 0.588 1.514 1.204

# 5
4
Lattice="-3.023 -3.654 0.682 1.569 -4.511 -0.383 0.397 -2.739 3.911" Properties=species:S:1:pos:R:3 comment="CeAlGaPd (PBE, relaxed)" sg="F-43m (216)" magmom_total_mub_per_fu=0.437 vol_a3_per_cell=78 pbc="T T T"
Ga -0.793 -8.178 3.157
Pd -0.264 -2.726 1.052
Ce 0.000 0.000 0.000
Al -0.529 -5.452 2.105

# 6
5
Lattice="-1.602 2.431 -3.765 -4.795 -0.696 1.590 0.244 4.039 2.505" Properties=species:S:1:pos:R:3 comment="TlNi2MoAu (PBE, relaxed)" sg="P4/mmm (123)" magmom_total_mub_per_fu=3.319 vol_a3_per_cell=116 pbc="T T T"
Ni 0.122 2.020 1.252
Ni -0.801 1.216 -1.882
Tl -2.397 -0.348 0.795
Au 0.000 0.000 0.000
Mo -3.076 2.887 0.165

# 7
4
Lattice="-0.810 0.216 -6.426 2.242 -1.728 -5.830 -2.776 -4.882 -1.699" Properties=species:S:1:pos:R:3 comment="Sr2TaTe (PBE, relaxed)" sg="Cm (8)" magmom_total_mub_per_fu=1.110 vol_a3_per_cell=126 pbc="T T T"
Sr 1.226 -1.756 -12.001
Sr -0.823 -4.572 -10.688
Ta -0.617 -3.273 -7.509
Te -0.372 -1.502 -2.991

# 8
4
Lattice="-1.996 0.355 -2.977 2.746 -1.221 -1.986 -2.520 -7.049 0.849" Properties=species:S:1:pos:R:3 comment="GdPu2Ir (PBE, relaxed)" sg="P4/mmm (123)" magmom_total_mub_per_fu=3.692 vol_a3_per_cell=98 pbc="T T T"
Gd -0.885 -3.957 -2.057
Pu -2.020 -5.651 0.681
Pu -0.500 -1.398 0.168
Ir 0.375 -0.433 -2.482

Record-wise E_tot values, in eV per atom: -5.20 -10.87 -7.30 -5.68 -5.05 -4.04 -4.48 -13.06